<w>
Material: YVFe2
Method: DFT, PBE-GGA
State: optimized geometry

a = 4.5106 Å, b = 4.5106 Å, c = 8.1163 Å
α = 73.87°, β = 73.87°, γ = 90.00°
Site moments in Bohr magnetons follow the coordinates.
Sites, in units of the cell vectors:
Y 0.0000 0.0000 0.0000  -0.10
Y 0.7500 0.2500 0.5000  -0.10
Fe 0.3750 0.1250 0.2500  0.66
Fe 0.3750 0.6250 0.2500  0.66
Fe 0.3750 0.6250 0.7500  0.66
Fe 0.8750 0.6250 0.7500  0.66
V 0.5000 0.5000 0.0000  -0.61
V 0.2500 0.7500 0.5000  -0.61

## Properties
Symmetry   No. 141
Total moment   0.105 μB per atom

=====

<x>
Material: YVFe2
Method: DFT, PBE-GGA
State: optimized geometry

a = 4.4396 Å, b = 4.4396 Å, c = 4.4396 Å
α = 60.00°, β = 60.00°, γ = 60.00°
Site moments in Bohr magnetons follow the coordinates.
Sites, in units of the cell vectors:
Y 0.5000 0.5000 0.5000  -0.23
Fe 0.2500 0.2500 0.2500  1.63
Fe 0.7500 0.7500 0.7500  1.63
V 0.0000 0.0000 0.0000  -1.69

## Properties
Symmetry   No. 225
Total moment   0.216 μB per atom

=====

Stability summary - winner: <x>; margin: 28.6 kJ/mol of atoms.

=====

<w>
Material: VZn2Fe2
Method: DFT, PBE-GGA
State: optimized geometry

a = 3.3449 Å, b = 3.3449 Å, c = 6.7071 Å
α = 75.56°, β = 75.56°, γ = 90.00°
Site moments in Bohr magnetons follow the coordinates.
Sites, in units of the cell vectors:
Zn 0.7500 0.2500 0.5000  -0.02
Zn 0.2500 0.7500 0.5000  -0.02
Fe 0.4115 0.4115 0.1770  2.08
Fe 0.5885 0.5885 0.8230  2.08
V 0.0000 0.0000 0.0000  -1.32

## Properties
Symmetry   No. 139
Total moment   0.525 μB per atom

=====

<x>
Material: VZn2Fe2
Method: DFT, PBE-GGA
State: optimized geometry

a = 5.8490 Å, b = 5.8490 Å, c = 3.8997 Å
α = 90.00°, β = 90.00°, γ = 90.00°
Site moments in Bohr magnetons follow the coordinates.
Sites, in units of the cell vectors:
Zn 0.1683 0.6683 0.5000  -0.02
Zn 0.6683 0.8317 0.5000  -0.02
Zn 0.8317 0.3317 0.5000  -0.02
Zn 0.3317 0.1683 0.5000  -0.02
Fe 0.3661 0.8661 0.0000  1.18
Fe 0.8661 0.6339 0.0000  1.18
Fe 0.6339 0.1339 0.0000  1.18
Fe 0.1339 0.3661 0.0000  1.18
V 0.0000 0.0000 0.0000  -0.80
V 0.5000 0.5000 0.0000  -0.80

## Properties
Symmetry   No. 127
Total moment   0.292 μB per atom

=====

Stability summary - winner: <x>; margin: 13.2 kJ/mol of atoms.

=====

<w>
Material: VZn4Fe
Method: DFT, PBE-GGA
State: optimized geometry

a = 4.9150 Å, b = 4.9150 Å, c = 4.9150 Å
α = 60.00°, β = 60.00°, γ = 60.00°
Site moments in Bohr magnetons follow the coordinates.
Sites, in units of the cell vectors:
Zn 0.6247 0.6247 0.1260  -0.05
Zn 0.6247 0.1260 0.6247  -0.05
Zn 0.6247 0.6247 0.6247  -0.05
Zn 0.1260 0.6247 0.6247  -0.05
Fe 0.2500 0.2500 0.2500  2.31
V 0.0000 0.0000 0.0000  -2.31

## Properties
Symmetry   No. 216
Total moment   0.117 μB per atom

=====

<x>
Material: VZn4Fe
Method: DFT, PBE-GGA
State: optimized geometry

a = 2.6776 Å, b = 2.6855 Å, c = 13.3782 Å
α = 84.32°, β = 84.26°, γ = 60.10°
Site moments in Bohr magnetons follow the coordinates.
Sites, in units of the cell vectors:
V 0.5000 0.5000 0.5000  -0.29
Zn 0.6146 0.6130 0.1577  -0.03
Zn 0.3854 0.3870 0.8423  -0.03
Zn 0.1113 0.1081 0.6693  -0.01
Zn 0.8887 0.8919 0.3307  -0.01
Fe 0.0000 0.0000 0.0000  2.42

## Properties
Symmetry   No. 12
Total moment   0.322 μB per atom

=====

Stability summary - winner: <x>; margin: 7.0 kJ/mol of atoms.

=====

<w>
Material: VZnFe
Method: DFT, PBE-GGA
State: optimized geometry

a = 4.0915 Å, b = 2.5671 Å, c = 7.5984 Å
α = 108.13°, β = 90.00°, γ = 90.00°
Site moments in Bohr magnetons follow the coordinates.
Sites, in units of the cell vectors:
V 0.9769 0.0488 0.7543  -0.29
V 0.4769 0.2350 0.5740  -0.29
Zn 0.4769 0.5139 0.2391  -0.02
Zn 0.9770 0.7706 0.0893  -0.02
Fe 0.4770 0.8687 0.8887  1.18
Fe 0.9769 0.4152 0.4397  1.18

## Properties
Symmetry   No. 11
Total moment   0.273 μB per atom

=====

<x>
Material: VZnFe
Method: DFT, PBE-GGA
State: optimized geometry

a = 4.9971 Å, b = 4.8540 Å, c = 7.4314 Å
α = 90.00°, β = 90.00°, γ = 120.98°
Site moments in Bohr magnetons follow the coordinates.
Sites, in units of the cell vectors:
Fe 0.6113 0.2226 0.5951  2.02
Fe 0.8887 0.7774 0.0951  2.02
Fe 0.3887 0.7774 0.4049  2.02
Fe 0.1113 0.2226 0.9049  2.02
V 0.3721 0.2441 0.2500  -0.55
V 0.1279 0.7559 0.7500  -0.55
V 0.6279 0.7559 0.7500  -0.55
V 0.8721 0.2441 0.2500  -0.55
Zn 0.8671 0.7341 0.4248  -0.02
Zn 0.6329 0.2659 0.9248  -0.02
Zn 0.1329 0.2659 0.5752  -0.02
Zn 0.3671 0.7341 0.0752  -0.02

## Properties
Symmetry   No. 64
Total moment   0.459 μB per atom

=====

Stability summary - winner: <w>; margin: 10.4 kJ/mol of atoms.